This record from Alexandria via LeMat-Bulk describes a geometry-optimized Tm5Th4Sc2 structure. The functional is GGA-PBE.

Cell: 3.4462 9.3782 12.0731 Å, 112.85 98.21 90.00°
With the nearest neighbours (Å) after each atom.
Fractional positions:
Th: 0.0000 0.2908 0.0000  4 Tm 3.23-3.55, 6 Th 3.33-3.45
Th: 0.4059 0.4059 0.8118  1 Sc 2.95
Th: 0.5941 0.5941 0.1882  1 Sc 2.95
Th: 0.0000 0.7092 0.0000  4 Tm 3.23-3.55, 6 Th 3.33-3.45
Tm: 0.1579 0.3705 0.3159  3 Sc 3.20-3.55, 2 Tm 3.45, 3 Th 3.49-3.55
Tm: 0.1579 0.9453 0.3159  3 Sc 3.20-3.55, 2 Tm 3.45, 3 Th 3.49-3.55
Tm: 0.5000 0.0000 0.0000  4 Th 3.23, 2 Tm 3.45
Tm: 0.8421 0.0547 0.6841  3 Sc 3.20-3.55, 2 Tm 3.45, 3 Th 3.49-3.55
Tm: 0.8421 0.6295 0.6841  3 Sc 3.20-3.55, 2 Tm 3.45, 3 Th 3.49-3.55
Sc: 0.2718 0.2718 0.5435  1 Th 2.95, 2 Tm 3.20
Sc: 0.7282 0.7282 0.4565  1 Th 2.95, 2 Tm 3.20

Computed properties:
ΔE to the lowest computed polymorph: 0.302 eV/atom
N(E_F): 16.7 states/eV/cell
ΔH_f (0 K): 0.332 eV/atom


This record from Alexandria via LeMat-Bulk describes a geometry-optimized Si3HCl structure. The functional is GGA-PBE.

Cell: 4.8271 4.8271 4.8271 Å, 90.00 90.00 90.00°
With the nearest neighbours (Å) after each atom.
Fractional positions:
Si: 0.0000 0.0000 0.5000  2 Cl 2.41
Si: 0.5000 0.0000 0.0000  2 Cl 2.41
Si: 0.0000 0.5000 0.0000  2 Cl 2.41
Cl: 0.0000 0.0000 0.0000  6 Si 2.41
H: 0.5000 0.5000 0.5000  12 Si 3.41

Computed properties:
ΔE to the lowest computed polymorph: 0.821 eV/atom
N(E_F): 2.7 states/eV/cell


This record from Alexandria via LeMat-Bulk describes a geometry-optimized CrCoGe2 structure. The functional is GGA-PBE.

Cell: 6.4346 6.4346 5.3363 Å, 52.92 52.92 90.00°
With the nearest neighbours (Å) after each atom.
Fractional positions:
Ge: 0.1043 0.6250 0.2500  2 Co 2.29, 2 Cr 2.47
Ge: 0.6457 0.1250 0.2500  2 Co 2.29, 2 Cr 2.47
Ge: 0.8750 0.8957 0.7500  2 Co 2.29, 2 Cr 2.47
Ge: 0.3750 0.3543 0.7500  2 Co 2.29, 2 Cr 2.47
Cr: 0.5000 0.5000 0.0000  4 Ge 2.47
Cr: 0.2500 0.7500 0.5000  4 Ge 2.47
Co: 0.0000 0.0000 0.0000  4 Ge 2.29
Co: 0.7500 0.2500 0.5000  4 Ge 2.29

Computed properties:
N(E_F): 13.2 states/eV/cell
ΔH_f (0 K): 0.463 eV/atom


This record from Alexandria via LeMat-Bulk describes a geometry-optimized SrNd2Cd8 structure. The functional is GGA-PBE.

Cell: 5.4334 6.5626 9.2343 Å, 110.81 107.10 90.02°
With the nearest neighbours (Å) after each atom.
Fractional positions:
Cd: 0.8692 0.6369 0.7373  6 Cd 3.04-3.33, 3 Nd 3.29-3.38
Cd: 0.2966 0.7966 0.5932  4 Nd 3.22-3.29, 6 Cd 3.23-3.33, 1 Sr 3.33
Cd: 0.1319 0.8995 0.2627  6 Cd 3.04-3.33, 3 Nd 3.29-3.38
Cd: 0.7034 0.2034 0.4068  4 Nd 3.22-3.29, 6 Cd 3.23-3.33, 1 Sr 3.33
Cd: 0.8681 0.1005 0.7373  6 Cd 3.04-3.33, 3 Nd 3.29-3.38
Cd: 0.7502 0.5006 0.0000  2 Cd 2.71-2.72
Cd: 0.2498 0.4994 0.0000  2 Cd 2.71-2.72
Cd: 0.1308 0.3631 0.2627  6 Cd 3.04-3.33, 3 Nd 3.29-3.38
Nd: 0.6907 0.6907 0.3814  12 Cd 3.22-3.41
Nd: 0.3093 0.3093 0.6186  12 Cd 3.22-3.41
Sr: 0.5000 0.0000 0.0000  6 Cd 3.33-3.55

Computed properties:
N(E_F): 5.7 states/eV/cell
ΔH_f (0 K): -0.298 eV/atom


This record from Alexandria via LeMat-Bulk describes a geometry-optimized Ba12MgAg6 structure. The functional is GGA-PBE.

Cell: 10.3443 10.3443 10.3443 Å, 109.47 109.47 109.47°
With the nearest neighbours (Å) after each atom.
Fractional positions:
Ag: 0.3803 0.5000 0.8803  1 Ag 2.86
Ag: 0.6197 0.5000 0.1197  1 Ag 2.86
Ag: 0.5000 0.1197 0.6197  1 Ag 2.86
Ag: 0.8803 0.3803 0.5000  1 Ag 2.86
Ag: 0.1197 0.6197 0.5000  1 Ag 2.86
Ag: 0.5000 0.8803 0.3803  1 Ag 2.86
Ba: 0.1829 0.3009 0.4838  3 Ag 3.35-3.53
Ba: 0.3009 0.4838 0.1829  3 Ag 3.35-3.53
Ba: 0.3009 0.1180 0.8171  3 Ag 3.35-3.53
Ba: 0.8820 0.1829 0.6991  3 Ag 3.35-3.53
Ba: 0.1180 0.8171 0.3009  3 Ag 3.35-3.53
Ba: 0.6991 0.8820 0.1829  3 Ag 3.35-3.53
Ba: 0.6991 0.5162 0.8171  3 Ag 3.35-3.53
Ba: 0.1829 0.6991 0.8820  3 Ag 3.35-3.53
Ba: 0.8171 0.3009 0.1180  3 Ag 3.35-3.53
Ba: 0.5162 0.8171 0.6991  3 Ag 3.35-3.53
Ba: 0.4838 0.1829 0.3009  3 Ag 3.35-3.53
Ba: 0.8171 0.6991 0.5162  3 Ag 3.35-3.53
Mg: 0.0000 0.0000 0.0000  12 Ba 4.21

Computed properties:
ΔE to the lowest computed polymorph: 0.000 eV/atom
N(E_F): 22.9 states/eV/cell
ΔH_f (0 K): -0.156 eV/atom


This record from Alexandria via LeMat-Bulk describes a geometry-optimized P2SeS structure. The functional is GGA-PBE.

Cell: 4.5283 4.5283 4.5283 Å, 60.00 60.00 60.00°
With the nearest neighbours (Å) after each atom.
Fractional positions:
P: 0.2500 0.2500 0.2500  4 Se 2.77, 4 S 2.77
P: 0.7500 0.7500 0.7500  4 S 2.77, 4 Se 2.77
Se: 0.5000 0.5000 0.5000  8 P 2.77
S: 0.0000 0.0000 0.0000  8 P 2.77

Computed properties:
ΔE to the lowest computed polymorph: 0.247 eV/atom
N(E_F): 1.8 states/eV/cell


This record from Alexandria via LeMat-Bulk describes a geometry-optimized LaTl2PdPb structure. The functional is GGA-PBE.

Cell: 5.2972 5.2972 5.4913 Å, 90.00 90.00 90.00°
With the nearest neighbours (Å) after each atom.
Fractional positions:
La: 0.0000 0.0000 0.5000  2 Pd 2.75
Tl: 0.0000 0.5000 0.0000  2 Pd 2.65
Tl: 0.5000 0.0000 0.0000  2 Pd 2.65
Pd: 0.0000 0.0000 0.0000  4 Tl 2.65, 2 La 2.75
Pb: 0.5000 0.5000 0.5000  4 La 3.75, 8 Tl 3.81

Computed properties:
N(E_F): 3.8 states/eV/cell
ΔH_f (0 K): -0.253 eV/atom


This record from Alexandria via LeMat-Bulk describes a geometry-optimized NiAuBr6 structure. The functional is GGA-PBE.

Cell: 7.8356 6.1266 7.1063 Å, 92.21 93.45 50.25°
With the nearest neighbours (Å) after each atom.
Fractional positions:
Br: 0.7031 0.0000 0.5664  1 Ni 2.40
Br: 0.7548 0.3623 0.2412  1 Au 2.49, 1 Ni 2.54
Br: 0.1172 0.6377 0.2412  1 Au 2.49, 1 Ni 2.54
Br: 0.2969 0.0000 0.4336  1 Ni 2.40
Br: 0.2452 0.6377 0.7588  1 Au 2.49, 1 Ni 2.54
Br: 0.8828 0.3623 0.7588  1 Au 2.49, 1 Ni 2.54
Au: 0.0000 0.0000 0.0000  4 Br 2.49
Ni: 0.0000 0.0000 0.5000  6 Br 2.40-2.54

Computed properties:
energy: -2.533 eV per atom
N(E_F): 1.4 states/eV/cell


This record from Alexandria via LeMat-Bulk describes a geometry-optimized MgWBr2 structure. The functional is GGA-PBE.

Cell: 4.9279 4.9279 3.1439 Å, 90.00 90.00 95.62°
With the nearest neighbours (Å) after each atom.
Fractional positions:
Br: 0.0000 0.0000 0.0000  4 W 2.92, 4 Mg 2.92, 2 Br 3.14
Br: 0.5000 0.5000 0.0000  4 Mg 2.92, 4 W 2.92, 2 Br 3.14
W: 0.0000 0.5000 0.5000  8 Br 2.92, 2 W 3.14
Mg: 0.5000 0.0000 0.5000  8 Br 2.92, 2 Mg 3.14

Computed properties:
ΔE to the lowest computed polymorph: 0.852 eV/atom
N(E_F): 3.6 states/eV/cell


This record from Alexandria via LeMat-Bulk describes a geometry-optimized Ho2ErAg6 structure. The functional is GGA-PBE.

Cell: 5.2839 8.8471 8.8471 Å, 75.50 81.67 81.67°
With the nearest neighbours (Å) after each atom.
Fractional positions:
Ag: 0.6398 0.0969 0.3468  4 Ho 3.04-3.11, 1 Er 3.05, 5 Ag 3.05-3.12
Ag: 0.3066 0.7651 0.0138  3 Er 3.03-3.10, 5 Ag 3.04-3.11, 2 Ho 3.06-3.11
Ag: 0.0262 0.5698 0.3185  4 Ho 3.04-3.11, 5 Ag 3.05-3.13, 1 Er 3.10
Ag: 0.3602 0.9031 0.6532  4 Ho 3.04-3.11, 1 Er 3.05, 5 Ag 3.05-3.12
Ag: 0.1934 0.9862 0.2349  3 Er 3.03-3.10, 5 Ag 3.04-3.11, 2 Ho 3.06-3.11
Ag: 0.8066 0.0138 0.7651  3 Er 3.03-3.10, 5 Ag 3.04-3.11, 2 Ho 3.06-3.11
Ag: 0.5262 0.3185 0.5698  4 Ho 3.04-3.11, 5 Ag 3.05-3.13, 1 Er 3.10
Ag: 0.4738 0.6815 0.4302  4 Ho 3.04-3.11, 5 Ag 3.05-3.13, 1 Er 3.10
Ag: 0.9738 0.4302 0.6815  4 Ho 3.04-3.11, 5 Ag 3.05-3.13, 1 Er 3.10
Ag: 0.1398 0.3468 0.0969  4 Ho 3.04-3.11, 1 Er 3.05, 5 Ag 3.05-3.12
Ag: 0.6934 0.2349 0.9862  3 Er 3.03-3.10, 5 Ag 3.04-3.11, 2 Ho 3.06-3.11
Ag: 0.8602 0.6532 0.9031  4 Ho 3.04-3.11, 1 Er 3.05, 5 Ag 3.05-3.12
Er: 0.7500 0.8751 0.1249  10 Ag 3.03-3.10
Er: 0.2500 0.1249 0.8751  10 Ag 3.03-3.10
Ho: 0.9171 0.7917 0.5415  10 Ag 3.04-3.11
Ho: 0.0829 0.2083 0.4585  10 Ag 3.04-3.11
Ho: 0.5829 0.4585 0.2083  10 Ag 3.04-3.11
Ho: 0.4171 0.5415 0.7917  10 Ag 3.04-3.11

Computed properties:
N(E_F): 11.1 states/eV/cell
ΔH_f (0 K): -0.216 eV/atom


This record from Alexandria via LeMat-Bulk describes a geometry-optimized MnAuSe2 structure. The functional is GGA-PBE.

Cell: 3.4571 4.9531 7.4421 Å, 49.98 90.00 90.00°
With the nearest neighbours (Å) after each atom.
Fractional positions:
Au: 0.5000 0.2500 0.2500  4 Se 2.72, 2 Mn 2.85
Se: 0.0000 0.7956 0.9680  2 Mn 2.48, 2 Au 2.72
Se: 0.0000 0.7044 0.5320  2 Mn 2.48, 2 Au 2.72
Mn: 0.5000 0.7500 0.7500  4 Se 2.48

Computed properties:
energy: -4.917 eV per atom
N(E_F): 1.8 states/eV/cell


This record from Alexandria via LeMat-Bulk describes a geometry-optimized Mg3Ga3N5 structure. The functional is GGA-PBE.

Cell: 5.6812 6.7321 8.2718 Å, 108.49 104.43 94.90°
With the nearest neighbours (Å) after each atom.
Fractional positions:
Mg: 0.2796 0.1152 0.0510  5 N 2.16-2.37
Mg: 0.8545 0.4222 0.6117  4 N 2.10-2.20
Mg: 0.1455 0.5778 0.3883  4 N 2.10-2.20
Mg: 0.4116 0.4839 0.7533  3 N 2.05-2.07
Mg: 0.7204 0.8848 0.9490  5 N 2.16-2.37
Mg: 0.5884 0.5161 0.2467  3 N 2.05-2.07
Ga: 0.3072 0.0775 0.4214  4 N 1.93-1.98
Ga: 0.8701 0.3117 0.9688  4 N 1.96-2.06
Ga: 0.8585 0.1449 0.2972  4 N 1.90-2.09
Ga: 0.1299 0.6883 0.0312  4 N 1.96-2.06
Ga: 0.6928 0.9225 0.5786  4 N 1.93-1.98
Ga: 0.1415 0.8551 0.7028  4 N 1.90-2.09
N: 0.7883 0.5284 0.8613  2 Ga 1.97-2.06, 2 Mg 2.06-2.10
N: 0.1645 0.3356 0.5052  2 Ga 1.98-2.09, 3 Mg 2.05-2.20
N: 0.6564 0.1156 0.4430  3 Ga 1.90-1.96, 1 Mg 2.11
N: 0.0694 0.9611 0.1790  3 Ga 1.97-2.00, 1 Mg 2.18
N: 0.6678 0.2293 0.1051  2 Ga 1.96, 2 Mg 2.07-2.16
N: 0.3322 0.7707 0.8949  2 Ga 1.96, 2 Mg 2.07-2.16
N: 0.3436 0.8844 0.5570  3 Ga 1.90-1.96, 1 Mg 2.11
N: 0.2117 0.4716 0.1387  2 Ga 1.97-2.06, 2 Mg 2.06-2.10
N: 0.9306 0.0389 0.8210  3 Ga 1.97-2.00, 1 Mg 2.18
N: 0.8355 0.6644 0.4948  2 Ga 1.98-2.09, 3 Mg 2.05-2.20

Computed properties:
energy: -5.492 eV per atom